1.
## ScAlP3 (PBE-GGA)

Data for a relaxed ScAlP3 crystal.

Output
DOS(E_F) in states/eV per atom: 0.569
Relative energy among the computed polymorphs in meV/atom: 300
Formation energy from the elements in kJ/mol of atoms: 49.5

a = 4.901 Å, b = 4.901 Å, c = 4.901 Å
α = 90.00°, β = 90.00°, γ = 90.00°
Positions (direct):
Sc1 0.000 0.000 0.000
Al1 0.500 0.500 0.500
P1 0.000 0.000 0.500
P2 0.000 0.500 0.000
P3 0.500 0.000 0.000



2.
## Sr3Ga2Ag9 (PBE-GGA)

Data for a relaxed Sr3Ga2Ag9 crystal.

Output
DOS(E_F) in states/eV per atom: 0.347
Formation energy from the elements in kJ/mol of atoms: -20.8

a = 8.793 Å, b = 8.793 Å, c = 8.793 Å
α = 149.29°, β = 107.74°, γ = 80.53°
Positions (direct):
Sr1 0.000 0.000 0.000
Sr2 0.310 0.310 0.000
Sr3 0.690 0.690 0.000
Ga1 0.284 0.500 0.784
Ga2 0.716 0.500 0.216
Ag1 0.032 0.670 0.362
Ag2 0.159 0.879 0.280
Ag3 0.307 0.670 0.638
Ag4 0.401 0.121 0.280
Ag5 0.500 0.000 0.500
Ag6 0.599 0.879 0.720
Ag7 0.693 0.330 0.362
Ag8 0.841 0.121 0.720
Ag9 0.968 0.330 0.638



3.
## CsZn3F9 (PBE-GGA)

Data for a relaxed CsZn3F9 crystal.

Output
DOS(E_F) in states/eV per atom: 0.602
Raw formation energy in eV/atom: -2.064

a = 7.540 Å, b = 7.540 Å, c = 3.937 Å
α = 90.00°, β = 90.00°, γ = 120.00°
Positions (direct):
Cs1 0.000 0.000 0.000
Zn1 0.000 0.500 0.500
Zn2 0.500 0.000 0.500
Zn3 0.500 0.500 0.500
F1 0.000 0.500 0.000
F2 0.203 0.407 0.500
F3 0.203 0.797 0.500
F4 0.407 0.203 0.500
F5 0.500 0.000 0.000
F6 0.500 0.500 0.000
F7 0.593 0.797 0.500
F8 0.797 0.203 0.500
F9 0.797 0.593 0.500



4.
## B5C7 (PBE-GGA)

Data for a relaxed B5C7 crystal.

Output
DOS(E_F) in states/eV per atom: 0.222
Relative energy among the computed polymorphs in meV/atom: 126
Formation energy from the elements in kJ/mol of atoms: 37.0

a = 2.614 Å, b = 2.614 Å, c = 13.348 Å
α = 90.00°, β = 90.00°, γ = 120.00°
Positions (direct):
B1 0.000 0.000 0.000
B2 0.000 0.000 0.383
B3 0.333 0.667 0.171
B4 0.333 0.667 0.667
B5 0.667 0.333 0.830
C1 0.000 0.000 0.507
C2 0.000 0.000 0.883
C3 0.333 0.667 0.055
C4 0.333 0.667 0.539
C5 0.667 0.333 0.227
C6 0.667 0.333 0.333
C7 0.667 0.333 0.711